Record 1
The following is a DFT calculation (PBE-GGA) of a relaxed Pa4CSe5 crystal.

It has space group C2/m (No. 12), with a = 17.202 Å, b = 3.857 Å, c = 7.841 Å, α = 90.00°, β = 103.31° and γ = 90.00°. The asymmetric unit holds Pa at (0.003, 0.000, 0.281), Pa at (0.151, 0.500, 0.579), C at (0.000, 0.500, 0.500), Se at (0.000, 0.500, 0.000), Se at (0.165, 0.000, 0.844) and Se at (0.174, 0.000, 0.321).



Record 2
The following is a DFT calculation (PBE-GGA) of a relaxed SmPaCSe2 crystal.

It has space group P4/nmm (No. 129, origin choice 2), with a = 4.014 Å, b = 4.014 Å, c = 14.830 Å, α = 90.00°, β = 90.00° and γ = 90.00°. The asymmetric unit holds Sm at (0.250, 0.250, 0.127), Pa at (0.250, 0.250, 0.579), C at (0.250, 0.750, 0.500), Se at (0.250, 0.250, 0.313) and Se at (0.250, 0.250, 0.911).



no.,E_form (uncorrected) (eV/atom)
1,-1.122
2,-1.254